Compound: K4TbPa3Se8
Source: the Alexandria database
Functional: PBE
Structure: optimized geometry

**Uncorrected formation energy**: -1417 meV per atom

Cell: 9.2017 9.2017 9.2017 Å, 53.92 53.92 53.92°
With the nearest neighbours (Å) after each atom.
Sites, in units of the cell vectors:
K 0.0000 0.0000 0.0000  6 Se 3.31
K 0.0000 0.5000 0.5000  6 Se 3.29-3.31
K 0.5000 0.0000 0.5000  6 Se 3.29-3.31
K 0.5000 0.5000 0.0000  6 Se 3.29-3.31
Tb 0.5000 0.5000 0.5000  6 Se 2.92
Pa 0.0000 0.0000 0.5000  6 Se 2.92-2.93
Pa 0.0000 0.5000 0.0000  6 Se 2.92-2.93
Pa 0.5000 0.0000 0.0000  6 Se 2.92-2.93
Se 0.2380 0.2380 0.2380  3 Pa 2.93
Se 0.2376 0.7366 0.7366  1 Tb 2.92, 2 Pa 2.92
Se 0.2634 0.2634 0.7624  1 Tb 2.92, 2 Pa 2.92
Se 0.2634 0.7624 0.2634  1 Tb 2.92, 2 Pa 2.92
Se 0.7366 0.2376 0.7366  1 Tb 2.92, 2 Pa 2.92
Se 0.7366 0.7366 0.2376  1 Tb 2.92, 2 Pa 2.92
Se 0.7624 0.2634 0.2634  1 Tb 2.92, 2 Pa 2.92
Se 0.7620 0.7620 0.7620  3 Pa 2.93

***

Compound: KPaTe3Se
Source: the Alexandria database
Functional: PBE
Structure: optimized geometry

**Uncorrected formation energy**: -860 meV per atom

Cell: 9.0836 4.3021 11.2798 Å, 90.00 108.91 90.00°
With the nearest neighbours (Å) after each atom.
Sites, in units of the cell vectors:
K 0.2402 0.2500 0.2985  7 Te 3.54-3.77
K 0.7598 0.7500 0.7015  7 Te 3.54-3.77
Pa 0.3102 0.7500 0.8129  2 Se 2.85, 3 Te 2.94-3.10
Pa 0.6898 0.2500 0.1871  2 Se 2.85, 3 Te 2.94-3.10
Te 0.0929 0.2500 0.8926  1 Se 2.67
Te 0.3501 0.7500 0.5644  1 Pa 2.94
Te 0.4297 0.7500 0.1162  3 Pa 3.10-3.24
Te 0.5703 0.2500 0.8838  3 Pa 3.10-3.24
Te 0.6499 0.2500 0.4356  1 Pa 2.94
Te 0.9071 0.7500 0.1074  1 Se 2.67
Se 0.1340 0.2500 0.6691  1 Te 2.67, 2 Pa 2.85
Se 0.8660 0.7500 0.3309  1 Te 2.67, 2 Pa 2.85

***

> Among the records above, which one has the lowest uncorrected formation energy?

K4TbPa3Se8

***

> Look up the uncorrected formation energy of the second one.

-860 meV per atom

***

> Which value of uncorrected formation energy does entry 2 give?

-860 meV per atom

***

> Look up the uncorrected formation energy of the first one.

-1417 meV per atom